Record 1
First-principles (PBE-GGA) data for a relaxed BeGaPbAu3 crystal, as listed in Alexandria.

It has space group Cmcm (No. 63), with a = 6.427 Å, b = 12.187 Å, c = 6.094 Å, α = 90.00°, β = 90.00° and γ = 90.00°. The asymmetric unit holds Be at (0.000, 0.044, 0.250), Ga at (0.000, 0.366, 0.750), Pb at (0.000, 0.287, 0.250), Au at (0.000, 0.160, 0.750) and Au at (0.233, 0.500, 0.000).

For the formation energy, the calculation gives -0.04 eV per atom.



Record 2
First-principles (PBE-GGA) data for a relaxed K2ScRu crystal, as listed in Alexandria.

It has space group Pmmm (No. 47), with a = 3.245 Å, b = 5.565 Å, c = 6.057 Å, α = 90.00°, β = 90.00° and γ = 90.00°. The asymmetric unit holds K at (0.000, 0.242, 0.000), Sc at (0.500, 0.500, 0.500) and Ru at (0.500, 0.000, 0.500).

For the formation energy, the calculation gives 1.03 eV per atom. The relative energy among the computed polymorphs comes out at 752 meV/atom.



Record 3
First-principles (PBE-GGA) data for a relaxed Pa3Si4Pt7 crystal, as listed in Alexandria.

It has space group C2/m (No. 12), with a = 15.664 Å, b = 4.080 Å, c = 9.501 Å, α = 90.00°, β = 126.14° and γ = 90.00°. The asymmetric unit holds Pa at (0.000, 0.000, 0.000), Pa at (0.179, 0.500, 0.674), Si at (0.111, 0.000, 0.833), Si at (0.157, 0.500, 0.259), Pt at (0.000, 0.000, 0.500), Pt at (0.006, 0.500, 0.285), Pt at (0.168, 0.000, 0.423) and Pt at (0.194, 0.500, 0.041).

The calculation puts the uncorrected formation energy at -0.930 eV per atom.



Record 4
First-principles (PBE-GGA) data for a relaxed ZnFeRu2 crystal, as listed in Alexandria.

It has space group R3m (No. 160, hexagonal axes), with a = 2.7002 Å, b = 2.7002 Å, c = 25.4892 Å, α = 90.00°, β = 90.00° and γ = 120.00°. The asymmetric unit holds Zn at (0.0000, 0.0000, 0.0000), Fe at (0.0000, 0.0000, 0.1666), Ru at (0.0000, 0.0000, 0.5795) and Ru at (0.0000, 0.0000, 0.7538).

For the formation energy, the calculation gives 0.10 eV per atom.



Record 5
First-principles (PBE-GGA) data for a relaxed Cs2NaTcRh crystal, as listed in Alexandria.

It has space group P4/mmm (No. 123), with a = 5.711 Å, b = 5.711 Å, c = 5.843 Å, α = 90.00°, β = 90.00° and γ = 90.00°. The asymmetric unit holds Cs at (0.000, 0.500, 0.000), Na at (0.000, 0.000, 0.500), Tc at (0.000, 0.000, 0.000) and Rh at (0.500, 0.500, 0.500).

For the formation energy, the calculation gives 1.75 eV per atom.